# ScTl2TeRu, optimized geometry, DFT GGA-PBE
data_ScTl2TeRu
_chemical_formula_sum 'Sc1 Tl2 Te1 Ru1'
_cell_length_a 5.6827
_cell_length_b 5.6827
_cell_length_c 4.6362
_cell_angle_alpha 90.00
_cell_angle_beta 90.00
_cell_angle_gamma 90.00
_symmetry_space_group_name_H-M 'P 4/m m m'
_symmetry_Int_Tables_number 123
_symmetry_space_group_name_Hall '-P 4 2'
loop_
_atom_site_label
_atom_site_type_symbol
_atom_site_fract_x
_atom_site_fract_y
_atom_site_fract_z
Sc1 Sc 0.0000 0.0000 0.0000
Tl1 Tl 0.0000 0.5000 0.0000
Te1 Te 0.5000 0.5000 0.5000
Ru1 Ru 0.0000 0.0000 0.5000
# total DFT energy (no corrections): -4.064 eV/atom
# magnetic moment: 0.00 μB/f.u.
# raw formation energy: 0.632 eV/atom